Material: Tl3NiSb
Method: DFT, PBE-GGA
State: relaxed

abc: 5.162 5.162 5.162
angles: 90.00 90.00 90.00
Each line ends with the local moment (μB).
Element x y z (fractional)
Tl 0.000 0.500 0.000  0.01
Ni 0.000 0.000 0.000  0.09
Tl 0.000 0.000 0.500  0.01
Sb 0.500 0.500 0.500  0.08
Tl 0.500 0.000 0.000  0.01

## Properties
For the energy above the lowest structure with this stoichiometry, the calculation gives 0 meV/atom. Its uncorrected formation energy is 0.201 eV/atom. Its space-group type is No. 221. The calculated volume comes out at 137.6 Å³ per cell. The value obtained for the size of the total moment is 0.323 μB per formula unit.